Compound: Er4BiPd
Source: Alexandria
Functional: PBE
Structure: relaxed

```
Er4BiPd
1.0
4.443 -6.800 0.000
4.443 6.800 0.000
-2.243 0.000 5.456
Er Bi Pd
8 2 2
direct
0.070 0.709 0.932
0.202 0.359 0.654
0.291 0.930 0.568
0.359 0.202 0.154
0.641 0.798 0.846
0.709 0.070 0.432
0.798 0.641 0.346
0.930 0.291 0.068
0.380 0.620 0.250
0.620 0.380 0.750
0.002 0.998 0.750
0.998 0.002 0.250
```

For the density of states at the Fermi level, the calculation gives 7.03 states/eV/f.u. As for the crystal system: monoclinic. The space-group type is C2/c, No. 15. For the total DFT energy (no corrections), the calculation gives -5.068 eV/atom. The formation energy comes out at -0.51 eV/atom. The polymorph energy (0 for the lowest one) comes out at 75.2 meV/atom.